# 1
! PBE AgPt3F, relaxed; values from VASP
&SYSTEM
  ibrav = 0, nat = 5, ntyp = 3
/
ATOMIC_SPECIES
Ag 107.87 Ag.upf
Pt 195.08 Pt.upf
F 19.00 F.upf
CELL_PARAMETERS angstrom
-3.295 2.385 2.805
-3.140 -3.786 -0.469
1.923 -2.096 4.040
ATOMIC_POSITIONS crystal
Ag 0.000 0.000 0.000
Pt 0.000 0.500 0.000
Pt 0.000 0.000 0.500
Pt 0.500 0.000 0.000
F 0.500 0.500 0.500
! total magnetic moment	0.1488	μB per atom
! raw formation energy	1.590	eV/atom
! volume	121	Å³ per cell
! relative energy among the computed polymorphs	837	meV/atom

=====

# 2
! PBE Tb2Pm2HoTm, relaxed; values from VASP
&SYSTEM
  ibrav = 0, nat = 12, ntyp = 4
/
ATOMIC_SPECIES
Tb 158.93 Tb.upf
Pm 145.00 Pm.upf
Ho 164.93 Ho.upf
Tm 168.93 Tm.upf
CELL_PARAMETERS angstrom
5.633 0.000 0.000
0.000 6.995 0.000
0.000 0.000 9.760
ATOMIC_POSITIONS crystal
Tb 0.000 0.258 0.837
Tb 0.500 0.258 0.331
Tb 0.000 0.758 0.163
Tb 0.500 0.758 0.669
Pm 0.500 0.008 0.000
Pm 0.000 0.258 0.178
Pm 0.500 0.508 0.000
Pm 0.000 0.758 0.822
Ho 0.500 0.258 0.658
Ho 0.500 0.758 0.342
Tm 0.000 0.008 0.500
Tm 0.000 0.508 0.500
! total magnetic moment	0.0000	μB per atom
! volume	385	Å³ per cell
! ΔH_f (0 K)	37	kJ/mol of formula units